#P
This record from the Alexandria database describes a geometry-optimized CsRb2BiI6 structure. The functional is PBE-GGA.

Cell and atoms, written as CIF:
```
data_CsRb2BiI6
_cell_length_a 13.366
_cell_length_b 13.366
_cell_length_c 13.366
_cell_angle_alpha 90.00
_cell_angle_beta 90.00
_cell_angle_gamma 90.00
_symmetry_space_group_name_H-M 'F m -3 m'
_symmetry_Int_Tables_number 225
_symmetry_space_group_name_Hall '-F 4 2 3'
loop_
_atom_site_label
_atom_site_type_symbol
_atom_site_fract_x
_atom_site_fract_y
_atom_site_fract_z
Cs1 Cs 0.000 0.000 0.000
Rb1 Rb 0.250 0.250 0.250
Bi1 Bi 0.000 0.000 0.500
I1 I 0.000 0.000 0.269
```

Output
**D(E_F)**: 0.00 states/eV/cell
**Volume**: 59.7 Å³/atom

#Q
This record from the Alexandria database describes a geometry-optimized CsRb2BiI6 structure. The functional is PBE-GGA.

Cell and atoms, written as CIF:
```
data_CsRb2BiI6
_cell_length_a 9.1307
_cell_length_b 9.1307
_cell_length_c 23.6829
_cell_angle_alpha 90.00
_cell_angle_beta 90.00
_cell_angle_gamma 120.00
_symmetry_space_group_name_H-M 'R 3'
_symmetry_Int_Tables_number 146
_symmetry_space_group_name_Hall 'R 3'
loop_
_atom_site_label
_atom_site_type_symbol
_atom_site_fract_x
_atom_site_fract_y
_atom_site_fract_z
Cs1 Cs 0.0000 0.0000 0.0000
Rb1 Rb 0.0000 0.0000 0.2851
Rb2 Rb 0.0000 0.0000 0.7991
Bi1 Bi 0.0000 0.0000 0.4887
I1 I 0.0305 0.3970 0.2278
I2 I 0.0668 0.6720 0.0748
```

Output
**D(E_F)**: 0.00 states/eV/cell
**Volume**: 57.0 Å³/atom

List of relative energies, unit meV/atom: #P 82; #Q 0

#P
This record from the Alexandria database describes a geometry-optimized CsBiSbI2 structure. The functional is PBE-GGA.

Cell and atoms, written as CIF:
```
data_CsBiSbI2
_cell_length_a 7.342
_cell_length_b 7.342
_cell_length_c 7.417
_cell_angle_alpha 90.00
_cell_angle_beta 90.00
_cell_angle_gamma 90.00
_symmetry_space_group_name_H-M 'P 4/m m m'
_symmetry_Int_Tables_number 123
_symmetry_space_group_name_Hall '-P 4 2'
loop_
_atom_site_label
_atom_site_type_symbol
_atom_site_fract_x
_atom_site_fract_y
_atom_site_fract_z
Cs1 Cs 0.000 0.000 0.000
Bi1 Bi 0.500 0.500 0.500
Sb1 Sb 0.000 0.000 0.500
I1 I 0.000 0.500 0.000
```

Output
**D(E_F)**: 12.55 states/eV/cell
**Volume**: 80.0 Å³/atom

#Q
This record from the Alexandria database describes a geometry-optimized CsBiSbI2 structure. The functional is PBE-GGA.

Cell and atoms, written as CIF:
```
data_CsBiSbI2
_cell_length_a 6.482
_cell_length_b 6.482
_cell_length_c 5.894
_cell_angle_alpha 90.00
_cell_angle_beta 90.00
_cell_angle_gamma 90.00
_symmetry_space_group_name_H-M 'P 4/m m m'
_symmetry_Int_Tables_number 123
_symmetry_space_group_name_Hall '-P 4 2'
loop_
_atom_site_label
_atom_site_type_symbol
_atom_site_fract_x
_atom_site_fract_y
_atom_site_fract_z
Cs1 Cs 0.000 0.000 0.000
Bi1 Bi 0.500 0.500 0.500
Sb1 Sb 0.500 0.500 0.000
I1 I 0.000 0.500 0.500
```

Output
**D(E_F)**: 3.51 states/eV/cell
**Volume**: 49.5 Å³/atom

List of relative energies, unit meV/atom: #P 1012; #Q 0

#P
This record from the Alexandria database describes a geometry-optimized CsBiTe2I structure. The functional is PBE-GGA.

Cell and atoms, written as CIF:
```
data_CsBiTe2I
_cell_length_a 6.009
_cell_length_b 6.009
_cell_length_c 6.429
_cell_angle_alpha 90.00
_cell_angle_beta 90.00
_cell_angle_gamma 90.00
_symmetry_space_group_name_H-M 'P 4/m m m'
_symmetry_Int_Tables_number 123
_symmetry_space_group_name_Hall '-P 4 2'
loop_
_atom_site_label
_atom_site_type_symbol
_atom_site_fract_x
_atom_site_fract_y
_atom_site_fract_z
Cs1 Cs 0.000 0.000 0.000
Bi1 Bi 0.500 0.500 0.500
Te1 Te 0.000 0.500 0.500
I1 I 0.500 0.500 0.000
```

Output
**D(E_F)**: 5.38 states/eV/cell
**Volume**: 46.4 Å³/atom

#Q
This record from the Alexandria database describes a geometry-optimized CsBiTe2I structure. The functional is PBE-GGA.

Cell and atoms, written as CIF:
```
data_CsBiTe2I
_cell_length_a 6.423
_cell_length_b 6.423
_cell_length_c 6.756
_cell_angle_alpha 90.00
_cell_angle_beta 90.00
_cell_angle_gamma 90.00
_symmetry_space_group_name_H-M 'P 4/m m m'
_symmetry_Int_Tables_number 123
_symmetry_space_group_name_Hall '-P 4 2'
loop_
_atom_site_label
_atom_site_type_symbol
_atom_site_fract_x
_atom_site_fract_y
_atom_site_fract_z
Cs1 Cs 0.000 0.000 0.000
Bi1 Bi 0.500 0.500 0.500
Te1 Te 0.000 0.500 0.000
I1 I 0.000 0.000 0.500
```

Output
**D(E_F)**: 8.20 states/eV/cell
**Volume**: 55.7 Å³/atom

List of relative energies, unit meV/atom: #P 0; #Q 1233

#P
This record from the Alexandria database describes a geometry-optimized Cs2TlBiI6 structure. The functional is PBE-GGA.

Cell and atoms, written as CIF:
```
data_Cs2TlBiI6
_cell_length_a 8.767
_cell_length_b 9.251
_cell_length_c 15.433
_cell_angle_alpha 90.00
_cell_angle_beta 124.45
_cell_angle_gamma 90.00
_symmetry_space_group_name_H-M 'P 1 21/c 1'
_symmetry_Int_Tables_number 14
_symmetry_space_group_name_Hall '-P 2ybc'
loop_
_atom_site_label
_atom_site_type_symbol
_atom_site_fract_x
_atom_site_fract_y
_atom_site_fract_z
Cs1 Cs 0.225 0.075 0.251
Tl1 Tl 0.000 0.000 0.500
Bi1 Bi 0.500 0.000 0.000
I1 I 0.167 0.185 0.957
I2 I 0.276 0.716 0.958
I3 I 0.349 0.014 0.763
```

Output
**D(E_F)**: 0.00 states/eV/cell
**Volume**: 51.6 Å³/atom

#Q
This record from the Alexandria database describes a geometry-optimized Cs2TlBiI6 structure. The functional is PBE-GGA.

Cell and atoms, written as CIF:
```
data_Cs2TlBiI6
_cell_length_a 12.843
_cell_length_b 12.843
_cell_length_c 12.843
_cell_angle_alpha 90.00
_cell_angle_beta 90.00
_cell_angle_gamma 90.00
_symmetry_space_group_name_H-M 'F m -3 m'
_symmetry_Int_Tables_number 225
_symmetry_space_group_name_Hall '-F 4 2 3'
loop_
_atom_site_label
_atom_site_type_symbol
_atom_site_fract_x
_atom_site_fract_y
_atom_site_fract_z
Cs1 Cs 0.250 0.250 0.250
Tl1 Tl 0.000 0.000 0.000
Bi1 Bi 0.000 0.000 0.500
I1 I 0.000 0.000 0.259
```

Output
**D(E_F)**: 0.00 states/eV/cell
**Volume**: 53.0 Å³/atom

List of relative energies, unit meV/atom: #P 0; #Q 23

#P
This record from the Alexandria database describes a geometry-optimized CsIn2Bi2 structure. The functional is PBE-GGA.

Cell and atoms, written as CIF:
```
data_CsIn2Bi2
_cell_length_a 5.286
_cell_length_b 5.286
_cell_length_c 6.938
_cell_angle_alpha 90.00
_cell_angle_beta 90.00
_cell_angle_gamma 90.00
_symmetry_space_group_name_H-M 'P 4/m m m'
_symmetry_Int_Tables_number 123
_symmetry_space_group_name_Hall '-P 4 2'
loop_
_atom_site_label
_atom_site_type_symbol
_atom_site_fract_x
_atom_site_fract_y
_atom_site_fract_z
Cs1 Cs 0.000 0.000 0.000
In1 In 0.000 0.500 0.500
Bi1 Bi 0.500 0.500 0.230
```

Output
**D(E_F)**: 2.07 states/eV/cell
**Volume**: 38.8 Å³/atom

#Q
This record from the Alexandria database describes a geometry-optimized CsIn2Bi2 structure. The functional is PBE-GGA.

Cell and atoms, written as CIF:
```
data_CsIn2Bi2
_cell_length_a 5.275
_cell_length_b 5.275
_cell_length_c 14.060
_cell_angle_alpha 90.00
_cell_angle_beta 90.00
_cell_angle_gamma 90.00
_symmetry_space_group_name_H-M 'I 4/m m m'
_symmetry_Int_Tables_number 139
_symmetry_space_group_name_Hall '-I 4 2'
loop_
_atom_site_label
_atom_site_type_symbol
_atom_site_fract_x
_atom_site_fract_y
_atom_site_fract_z
Cs1 Cs 0.000 0.000 0.000
In1 In 0.000 0.500 0.250
Bi1 Bi 0.000 0.000 0.372
```

Output
**D(E_F)**: 2.51 states/eV/cell
**Volume**: 39.1 Å³/atom

List of relative energies, unit meV/atom: #P 118; #Q 0

#P
This record from the Alexandria database describes a geometry-optimized CsIn3Bi structure. The functional is PBE-GGA.

Cell and atoms, written as CIF:
```
data_CsIn3Bi
_cell_length_a 6.152
_cell_length_b 6.152
_cell_length_c 6.152
_cell_angle_alpha 90.00
_cell_angle_beta 90.00
_cell_angle_gamma 90.00
_symmetry_space_group_name_H-M 'P m -3 m'
_symmetry_Int_Tables_number 221
_symmetry_space_group_name_Hall '-P 4 2 3'
loop_
_atom_site_label
_atom_site_type_symbol
_atom_site_fract_x
_atom_site_fract_y
_atom_site_fract_z
Cs1 Cs 0.000 0.000 0.000
In1 In 0.000 0.500 0.500
Bi1 Bi 0.500 0.500 0.500
```

Output
**D(E_F)**: 3.63 states/eV/cell
**Volume**: 46.6 Å³/atom

#Q
This record from the Alexandria database describes a geometry-optimized CsIn3Bi structure. The functional is PBE-GGA.

Cell and atoms, written as CIF:
```
data_CsIn3Bi
_cell_length_a 6.295
_cell_length_b 6.295
_cell_length_c 6.295
_cell_angle_alpha 90.00
_cell_angle_beta 90.00
_cell_angle_gamma 90.00
_symmetry_space_group_name_H-M 'P m -3 m'
_symmetry_Int_Tables_number 221
_symmetry_space_group_name_Hall '-P 4 2 3'
loop_
_atom_site_label
_atom_site_type_symbol
_atom_site_fract_x
_atom_site_fract_y
_atom_site_fract_z
Cs1 Cs 0.000 0.000 0.000
In1 In 0.000 0.000 0.500
Bi1 Bi 0.500 0.500 0.500
```

Output
**D(E_F)**: 5.46 states/eV/cell
**Volume**: 49.9 Å³/atom

List of relative energies, unit meV/atom: #P 0; #Q 793

#P
This record from the Alexandria database describes a geometry-optimized Cs3In2Bi4 structure. The functional is PBE-GGA.

Cell and atoms, written as CIF:
```
data_Cs3In2Bi4
_cell_length_a 15.544
_cell_length_b 5.103
_cell_length_c 10.414
_cell_angle_alpha 90.00
_cell_angle_beta 105.91
_cell_angle_gamma 90.00
_symmetry_space_group_name_H-M 'C 1 2/m 1'
_symmetry_Int_Tables_number 12
_symmetry_space_group_name_Hall '-C 2y'
loop_
_atom_site_label
_atom_site_type_symbol
_atom_site_fract_x
_atom_site_fract_y
_atom_site_fract_z
Cs1 Cs 0.000 0.000 0.000
Cs2 Cs 0.097 0.500 0.682
In1 In 0.218 0.500 0.352
Bi1 Bi 0.121 0.000 0.397
Bi2 Bi 0.211 0.500 0.052
```

Output
**D(E_F)**: 6.93 states/eV/cell
**Volume**: 44.1 Å³/atom

#Q
This record from the Alexandria database describes a geometry-optimized Cs3In2Bi4 structure. The functional is PBE-GGA.

Cell and atoms, written as CIF:
```
data_Cs3In2Bi4
_cell_length_a 15.589
_cell_length_b 13.199
_cell_length_c 8.890
_cell_angle_alpha 90.00
_cell_angle_beta 105.34
_cell_angle_gamma 90.00
_symmetry_space_group_name_H-M 'C 1 2/c 1'
_symmetry_Int_Tables_number 15
_symmetry_space_group_name_Hall '-C 2yc'
loop_
_atom_site_label
_atom_site_type_symbol
_atom_site_fract_x
_atom_site_fract_y
_atom_site_fract_z
Cs1 Cs 0.000 0.095 0.250
Cs2 Cs 0.130 0.375 0.575
In1 In 0.200 0.114 0.013
Bi1 Bi 0.139 0.322 0.096
Bi2 Bi 0.191 0.092 0.667
```

Output
**D(E_F)**: 14.98 states/eV/cell
**Volume**: 49.0 Å³/atom

List of relative energies, unit meV/atom: #P 0; #Q 33

#P
This record from the Alexandria database describes a geometry-optimized Cs2InBi structure. The functional is PBE-GGA.

Cell and atoms, written as CIF:
```
data_Cs2InBi
_cell_length_a 4.837
_cell_length_b 11.294
_cell_length_c 7.764
_cell_angle_alpha 90.00
_cell_angle_beta 90.00
_cell_angle_gamma 90.00
_symmetry_space_group_name_H-M 'I m m 2'
_symmetry_Int_Tables_number 44
_symmetry_space_group_name_Hall 'I 2 -2'
loop_
_atom_site_label
_atom_site_type_symbol
_atom_site_fract_x
_atom_site_fract_y
_atom_site_fract_z
Cs1 Cs 0.000 0.186 0.000
In1 In 0.000 0.500 0.201
Bi1 Bi 0.000 0.000 0.465
```

Output
**D(E_F)**: 1.22 states/eV/cell
**Volume**: 53.0 Å³/atom

#Q
This record from the Alexandria database describes a geometry-optimized Cs2InBi structure. The functional is PBE-GGA.

Cell and atoms, written as CIF:
```
data_Cs2InBi
_cell_length_a 12.145
_cell_length_b 9.613
_cell_length_c 6.628
_cell_angle_alpha 90.00
_cell_angle_beta 90.00
_cell_angle_gamma 90.00
_symmetry_space_group_name_H-M 'C m c m'
_symmetry_Int_Tables_number 63
_symmetry_space_group_name_Hall '-C 2c 2'
loop_
_atom_site_label
_atom_site_type_symbol
_atom_site_fract_x
_atom_site_fract_y
_atom_site_fract_z
Cs1 Cs 0.172 0.152 0.250
In1 In 0.000 0.500 0.000
Bi1 Bi 0.000 0.213 0.750
```

Output
**D(E_F)**: 16.13 states/eV/cell
**Volume**: 48.4 Å³/atom

#R
This record from the Alexandria database describes a geometry-optimized Cs2InBi structure. The functional is PBE-GGA.

Cell and atoms, written as CIF:
```
data_Cs2InBi
_cell_length_a 9.137
_cell_length_b 9.137
_cell_length_c 9.137
_cell_angle_alpha 90.00
_cell_angle_beta 90.00
_cell_angle_gamma 90.00
_symmetry_space_group_name_H-M 'F m -3 m'
_symmetry_Int_Tables_number 225
_symmetry_space_group_name_Hall '-F 4 2 3'
loop_
_atom_site_label
_atom_site_type_symbol
_atom_site_fract_x
_atom_site_fract_y
_atom_site_fract_z
Cs1 Cs 0.250 0.250 0.250
In1 In 0.000 0.000 0.000
Bi1 Bi 0.000 0.000 0.500
```

Output
**D(E_F)**: 0.00 states/eV/cell
**Volume**: 47.7 Å³/atom

List of relative energies, unit meV/atom: #P 0; #Q 67; #R 211